Na2NpCrO4 | PBE with a Hubbard U | optimized geometry

Cell: 5.559 3.470 5.794 Å, 90.00 106.10 90.00°
Space group P2/m (No. 10)
Inequivalent atoms, fractional coordinates:
Na (0.000, 0.000, 0.000) (multiplicity 1)
Na (0.500, 0.500, 0.000) (multiplicity 1)
Np (0.000, 0.500, 0.500) (multiplicity 1)
Cr (0.500, 0.000, 0.500) (multiplicity 1)
O (0.246, 0.000, 0.708) (multiplicity 2)
O (0.247, 0.500, 0.280) (multiplicity 2)

Values from the calculation:
VASP energy = -59.635 eV for the cell shown
Mass density = 6.2 g cm⁻³